# 1
Dy9Y2Sc | PBE | relaxed

Properties
Size of the total moment (Bohr magnetons per cell): 0.00
V (Å³ per atom): 30.98
Density of states at the Fermi level (states/eV/atom): 1.49
Total energy (eV/atom): -5.0264

abc: 4.990 4.990 14.932
angles: 90.00 90.00 90.00
Sites, in units of the cell vectors:
1 Dy 0.000 0.500 0.162
2 Dy 0.500 0.000 0.838
3 Sc 0.000 0.000 0.000
4 Y 0.000 0.000 0.331
5 Dy 0.500 0.000 0.162
6 Dy 0.000 0.500 0.838
7 Dy 0.500 0.500 0.331
8 Dy 0.000 0.500 0.500
9 Dy 0.500 0.500 0.000
10 Dy 0.500 0.500 0.669
11 Dy 0.500 0.000 0.500
12 Y 0.000 0.000 0.669

---

# 2
Dy2Y7Sc2 | PBE | relaxed

Properties
Size of the total moment (Bohr magnetons per cell): 0.01
Relative energy among the computed polymorphs (meV per atom): 0
V (Å³ per atom): 31.39
Density of states at the Fermi level (states/eV/atom): 1.98
Total energy (eV/atom): -6.0027

abc: 8.439 6.500 6.500
angles: 92.80 80.25 80.25
Sites, in units of the cell vectors:
1 Dy 0.500 0.679 0.321
2 Y 0.584 0.158 0.158
3 Y 0.193 0.097 0.467
4 Y 0.416 0.842 0.842
5 Y 0.000 0.000 0.000
6 Y 0.807 0.533 0.903
7 Y 0.193 0.467 0.097
8 Y 0.807 0.903 0.533
9 Dy 0.500 0.321 0.679
10 Sc 0.155 0.611 0.611
11 Sc 0.845 0.389 0.389

---

# 3
DyYSc4 | PBE | relaxed

Properties
Size of the total moment (Bohr magnetons per cell): 6.07
Relative energy among the computed polymorphs (meV per atom): 146
V (Å³ per atom): 28.95
Density of states at the Fermi level (states/eV/atom): 2.19
Total energy (eV/atom): -5.8529

abc: 6.263 6.263 6.263
angles: 60.00 60.00 60.00
Last column: magnetic moment on the atom in μB.
Sites, in units of the cell vectors:
1 Sc 0.625 0.625 0.625  0.53
2 Dy 0.250 0.250 0.250  0.68
3 Sc 0.625 0.625 0.125  0.53
4 Sc 0.625 0.125 0.625  0.53
5 Y 0.000 0.000 0.000  0.49
6 Sc 0.125 0.625 0.625  0.53